(1)
A relaxed structure of La2MgCdOs, computed with PBE-GGA.

a b c (Å): 5.4654 5.4654 5.3934
angles (deg): 90.00 90.00 90.00
Closest atoms and distances in Å follow each position.
Positions (direct):
Mg  0.5000  0.5000  0.5000  8 La 3.84, 4 Cd 3.86
Cd  0.0000  0.0000  0.5000  2 Os 2.70
Os  0.0000  0.0000  0.0000  2 Cd 2.70, 4 La 2.73
La  0.0000  0.5000  0.0000  2 Os 2.73
La  0.5000  0.0000  0.0000  2 Os 2.73

Values from the calculation:
Total magnetization: 0.000 μB per formula unit
ΔH_f (0 K): 0.000 eV per atom
VASP energy: -4.718 eV per atom

***

(2)
A relaxed structure of Ti2CrGe2, computed with PBE-GGA.

a b c (Å): 6.4629 6.4629 3.6151
angles (deg): 90.00 90.00 90.00
Closest atoms and distances in Å follow each position.
Positions (direct):
Cr  0.0000  0.0000  0.0000  4 Ge 2.51
Cr  0.5000  0.5000  0.0000  4 Ge 2.51
Ge  0.3624  0.8624  0.0000  2 Cr 2.51, 1 Ge 2.51, 6 Ti 2.53-2.69
Ge  0.8624  0.6376  0.0000  2 Cr 2.51, 1 Ge 2.51, 6 Ti 2.53-2.69
Ge  0.6376  0.1376  0.0000  2 Cr 2.51, 1 Ge 2.51, 6 Ti 2.53-2.69
Ge  0.1376  0.3624  0.0000  2 Cr 2.51, 1 Ge 2.51, 6 Ti 2.53-2.69
Ti  0.1686  0.6686  0.5000  6 Ge 2.53-2.69
Ti  0.6686  0.8314  0.5000  6 Ge 2.53-2.69
Ti  0.8314  0.3314  0.5000  6 Ge 2.53-2.69
Ti  0.3314  0.1686  0.5000  6 Ge 2.53-2.69

Values from the calculation:
Total magnetization: 0.000 μB per formula unit
ΔH_f (0 K): -0.450 eV per atom
VASP energy: -7.379 eV per atom

***

(3)
A relaxed structure of LiGe2OsF, computed with PBE-GGA.

a b c (Å): 4.5865 3.2840 4.5865
angles (deg): 90.00 90.00 90.00
Closest atoms and distances in Å follow each position.
Positions (direct):
Ge  0.0000  0.0000  0.5000  2 F 2.29
Ge  0.5000  0.0000  0.0000  2 F 2.29
Li  0.0000  0.5000  0.0000  2 F 1.64
Os  0.5000  0.5000  0.5000  8 Ge 2.82
F  0.0000  0.0000  0.0000  2 Li 1.64

Values from the calculation:
Formation energy without anion corrections: -0.316 eV/atom
Total magnetization: 0.000 μB per formula unit
VASP energy: -5.166 eV per atom

***

(4)
A relaxed structure of Hf5CuTc4, computed with PBE-GGA.

a b c (Å): 3.2829 3.2829 16.1718
angles (deg): 90.00 90.00 90.00
Closest atoms and distances in Å follow each position.
Positions (direct):
Hf  0.5000  0.5000  0.1031  4 Tc 2.75, 4 Cu 2.86
Hf  0.5000  0.5000  0.2994  8 Tc 2.82-2.87
Hf  0.5000  0.5000  0.5000  8 Tc 2.84
Hf  0.5000  0.5000  0.7006  8 Tc 2.82-2.87
Hf  0.5000  0.5000  0.8969  4 Tc 2.75, 4 Cu 2.86
Cu  0.0000  0.0000  0.0000  8 Hf 2.86, 2 Tc 3.15
Tc  0.0000  0.0000  0.1948  8 Hf 2.75-2.87
Tc  0.0000  0.0000  0.3989  8 Hf 2.82-2.84
Tc  0.0000  0.0000  0.6011  8 Hf 2.82-2.84
Tc  0.0000  0.0000  0.8052  8 Hf 2.75-2.87

Values from the calculation:
Total magnetization: 0.000 μB per formula unit
ΔH_f (0 K): -0.442 eV per atom
VASP energy: -9.974 eV per atom